! KTePb3 | the Alexandria database | PBE | optimized geometry; values from VASP
! raw formation energy	0.9	eV per formula unit
! energy above the most stable polymorph in this dataset	0	meV per atom
! space group	No. 221
&SYSTEM
  ibrav = 0, nat = 5, ntyp = 3
/
ATOMIC_SPECIES
Te 127.60 Te.upf
K 39.10 K.upf
Pb 207.20 Pb.upf
ATOMIC_POSITIONS angstrom
Te 0.000 0.000 0.000
K -4.087 0.116 -3.361
Pb -0.004 1.380 -2.726
Pb -1.334 -2.453 -1.240
Pb -2.749 1.189 0.606
CELL_PARAMETERS angstrom
-0.008 2.761 -5.452
-2.668 -4.907 -2.481
-5.498 2.377 1.212